(1)
Density functional theory data (PBE) for an optimized crystal structure of Tl2CoRh.

```
Tl2CoRh
1.0
7.2747 0.0000 0.0000
0.0000 7.2747 0.0000
3.6373 3.6373 2.9638
Rh Tl Co
2 4 2
Cartesian
7.2747 3.6373 1.4819
0.0000 0.0000 0.0000
5.3659 1.8187 0.7410
9.0933 9.0033 2.2229
5.4560 5.5461 2.2229
1.9087 5.4560 0.7410
3.6373 3.6373 0.0000
3.6373 7.2747 1.4819
```

Values from the calculation:
SG: I-42d, No. 122
final energy: -4.162 eV/atom
DOS at the Fermi energy: 14.6 states/eV/cell
ΔE to the lowest computed polymorph: 0.3188 eV/atom



(2)
Density functional theory data (PBE) for an optimized crystal structure of TlCoRh2.

```
TlCoRh2
1.0
2.9122 0.0108 0.0000
-0.0109 2.9122 0.0000
0.0000 0.0000 7.3344
Rh Tl Co
2 1 1
Cartesian
0.0000 0.0000 7.2139
1.4507 1.4615 1.6874
0.0000 0.0000 3.7256
1.4507 1.4615 5.7090
```

Values from the calculation:
SG: P4mm, No. 99
final energy: -5.726 eV/atom
DOS at the Fermi energy: 5.7 states/eV/cell



(3)
Density functional theory data (PBE) for an optimized crystal structure of Tl2CoRh.

```
Tl2CoRh
1.0
-2.8022 -4.3803 6.6134
-2.3851 -6.7295 4.4499
0.1117 -5.6880 6.1976
Rh Tl Co
1 2 1
Cartesian
-3.8067 -12.5983 12.9457
-5.0647 -16.7617 17.2239
-2.5487 -8.4349 8.6675
-1.2689 -4.1994 4.3152
```

Values from the calculation:
SG: R-3m, No. 166
final energy: -4.351 eV/atom
DOS at the Fermi energy: 4.1 states/eV/cell
ΔE to the lowest computed polymorph: 0.1298 eV/atom



(4)
Density functional theory data (PBE) for an optimized crystal structure of TlCo2Rh.

```
TlCo2Rh
1.0
-2.7934 3.5369 1.6129
-3.7784 0.5878 -2.8796
1.8764 -3.8632 2.1244
Co Tl Rh
2 1 1
Cartesian
-3.7774 0.5901 -2.8758
-3.2869 2.0600 -0.6372
-2.5939 -0.6065 -0.6943
-2.1014 0.8680 1.5519
```

Values from the calculation:
SG: C2/m, No. 12
final energy: -5.604 eV/atom
DOS at the Fermi energy: 7.3 states/eV/cell
ΔE to the lowest computed polymorph: 0.0773 eV/atom



(5)
Density functional theory data (PBE) for an optimized crystal structure of TlCo2Rh.

```
TlCo2Rh
1.0
-3.4001 2.7164 -0.4320
-2.9160 0.3851 3.2364
-0.1743 3.6776 2.3602
Co Tl Rh
2 1 1
Cartesian
0.0000 0.0000 0.0000
-1.6226 1.6948 1.2911
-4.8678 5.0843 3.8734
-3.2452 3.3895 2.5823
```

Values from the calculation:
SG: F-43m, No. 216
final energy: -5.600 eV/atom
DOS at the Fermi energy: 6.5 states/eV/cell
ΔE to the lowest computed polymorph: 0.0810 eV/atom



(6)
Density functional theory data (PBE) for an optimized crystal structure of Tl2CoRh.

```
Tl2CoRh
1.0
-2.1244 -3.1354 3.9827
-3.6439 -3.9034 -1.3005
4.9525 1.6986 -1.6713
Co Tl Rh
1 2 1
Cartesian
-2.8841 -3.5194 1.3411
-0.7877 -2.8621 -0.8153
0.0000 0.0000 0.0000
-0.0280 -2.4781 1.8262
```

Values from the calculation:
SG: I-4m2, No. 119
final energy: -4.329 eV/atom
DOS at the Fermi energy: 6.2 states/eV/cell
ΔE to the lowest computed polymorph: 0.1512 eV/atom



(7)
Density functional theory data (PBE) for an optimized crystal structure of TlCo2Rh.

```
TlCo2Rh
1.0
-3.3098 2.0139 1.9845
-2.6772 2.5590 -2.2877
-4.0934 -1.2664 -0.7678
Tl Rh Co
1 1 2
Cartesian
-5.0402 1.6532 -0.5355
0.0000 0.0000 0.0000
-7.5603 2.4799 -0.8032
-2.5201 0.8266 -0.2677
```

Values from the calculation:
SG: Fm-3m, No. 225
final energy: -5.578 eV/atom
DOS at the Fermi energy: 5.8 states/eV/cell
ΔE to the lowest computed polymorph: 0.1028 eV/atom



(8)
Density functional theory data (PBE) for an optimized crystal structure of TlCoRh2.

```
TlCoRh2
1.0
2.8747 0.0000 0.0000
0.0000 3.7031 0.0000
0.0000 0.0000 5.8564
Tl Rh Co
1 2 1
Cartesian
0.0000 0.0000 2.9402
0.0000 0.0000 5.7325
1.4373 1.8515 1.3436
1.4373 1.8515 4.6248
```

Values from the calculation:
SG: Pmm2, No. 25
final energy: -5.762 eV/atom
DOS at the Fermi energy: 5.9 states/eV/cell



(9)
Density functional theory data (PBE) for an optimized crystal structure of TlCoRh2.

```
TlCoRh2
1.0
-0.8053 -2.9259 3.6061
1.8920 -1.8979 3.8771
-1.5328 3.1242 3.4051
Co Rh Tl
1 2 1
Cartesian
-0.1115 -0.4249 2.7221
-0.1760 -0.9675 5.4230
1.0397 -4.7060 7.5044
-0.3345 -1.2747 8.1663
```

Values from the calculation:
SG: C2/m, No. 12
final energy: -5.784 eV/atom
DOS at the Fermi energy: 5.9 states/eV/cell



(10)
Density functional theory data (PBE) for an optimized crystal structure of Tl2CoRh.

```
Tl2CoRh
1.0
6.2607 0.0317 -0.0063
3.9574 4.8514 0.0063
-4.7083 -3.2801 2.5040
Rh Tl Co
1 2 1
Cartesian
2.7351 -0.6881 1.2489
0.1542 0.0737 0.0000
2.5744 2.1954 1.2551
5.1553 2.4637 0.0000
```

Values from the calculation:
SG: Imm2, No. 44
final energy: -4.428 eV/atom
DOS at the Fermi energy: 3.2 states/eV/cell
ΔE to the lowest computed polymorph: 0.0528 eV/atom



(11)
Density functional theory data (PBE) for an optimized crystal structure of TlCo2Rh.

```
TlCo2Rh
1.0
-3.2088 -2.3856 0.5951
1.7468 -2.1820 0.6717
0.7351 0.3245 5.2650
Co Rh Tl
2 1 1
Cartesian
0.3249 -0.3761 0.2444
-1.3118 -1.2493 1.6485
1.1377 -0.8513 2.7223
0.3632 -2.6952 4.8849
```

Values from the calculation:
SG: Amm2, No. 38
final energy: -5.614 eV/atom
DOS at the Fermi energy: 4.3 states/eV/cell
ΔE to the lowest computed polymorph: 0.0675 eV/atom



(12)
Density functional theory data (PBE) for an optimized crystal structure of Tl2CoRh.

```
Tl2CoRh
1.0
4.1103 0.0000 0.0000
0.0000 3.7038 -0.0237
0.0000 1.8818 5.0295
Tl Rh Co
2 1 1
Cartesian
0.0000 5.3544 4.6255
2.0552 1.6277 1.6703
2.0552 3.4963 3.8316
0.0000 3.4854 2.3871
```

Values from the calculation:
SG: Amm2, No. 38
final energy: -4.445 eV/atom
DOS at the Fermi energy: 5.3 states/eV/cell
ΔE to the lowest computed polymorph: 0.0352 eV/atom



- Look up the DOS at the Fermi energy of the twelfth one.
  5.3 states/eV/cell